A plane-wave DFT calculation with PBE was carried out for a relaxed FePC2 crystal.

Output
- Magnetization: 0.92 μB per formula unit
- Space-group type: I-42d (122)
- Energy of formation: 0.490 eV per atom

```
8
Lattice="-2.214 2.214 4.005 2.214 -2.214 4.005 2.214 2.214 -4.005" Properties=species:S:1:pos:R:3 pbc="T T T"
Fe 0.000 0.000 0.000
Fe 0.000 2.214 2.003
P 2.214 0.000 2.003
P 0.000 0.000 4.005
C 1.107 -0.988 3.004
C 1.226 1.107 1.001
C 1.107 3.203 -1.001
C 0.988 1.107 5.006
```